Record 1
NaMnBe2Pt | PBE | optimized geometry

a b c (Å): 4.220 4.220 4.662
angles (deg): 90.00 90.00 90.00
Positions (direct):
Na  0.000  0.000  0.000
Mn  0.500  0.500  0.500
Be  0.000  0.500  0.000
Be  0.500  0.000  0.000
Pt  0.000  0.000  0.500

## Properties
DFT formation energy = 1.52 eV/atom
crystal system = tetragonal

Record 2
NaMn2BeRh | PBE | optimized geometry

a b c (Å): 4.431 4.431 4.134
angles (deg): 90.00 90.00 90.00
Positions (direct):
Na  0.000  0.000  0.000
Mn  0.000  0.500  0.500
Mn  0.500  0.000  0.500
Be  0.500  0.500  0.500
Rh  0.500  0.500  0.000

## Properties
DFT formation energy = 0.47 eV/atom
crystal system = tetragonal

Record 3
Na2ScMnBe | PBE | optimized geometry

a b c (Å): 4.990 4.990 4.537
angles (deg): 90.00 90.00 90.00
Positions (direct):
Na  0.000  0.500  0.000
Na  0.500  0.000  0.000
Sc  0.000  0.000  0.500
Mn  0.500  0.500  0.500
Be  0.500  0.500  0.000

## Properties
DFT formation energy = 0.87 eV/atom
crystal system = tetragonal

Record 4
NaMnBeSe3 | PBE | optimized geometry

a b c (Å): 8.239 3.646 9.099
angles (deg): 90.00 105.30 90.00
Positions (direct):
Na  0.195  0.250  0.235
Na  0.805  0.750  0.765
Mn  0.343  0.750  0.864
Mn  0.657  0.250  0.136
Be  0.084  0.250  0.593
Be  0.916  0.750  0.407
Se  0.126  0.250  0.848
Se  0.200  0.750  0.515
Se  0.455  0.750  0.161
Se  0.545  0.250  0.839
Se  0.800  0.250  0.485
Se  0.874  0.750  0.152

## Properties
energy relative to the elements, uncorrected = -709 meV/atom
crystal system = monoclinic

Record 5
NaMnBeTe2 | PBE | optimized geometry

a b c (Å): 5.216 5.216 4.442
angles (deg): 90.00 90.00 90.00
Positions (direct):
Na  0.000  0.000  0.000
Mn  0.500  0.500  0.000
Be  0.500  0.500  0.500
Te  0.000  0.500  0.500
Te  0.500  0.000  0.500

## Properties
energy relative to the elements, uncorrected = 179 meV/atom
crystal system = tetragonal

Record 6
NaMnBeTe3 | PBE | optimized geometry

a b c (Å): 7.667 3.936 11.536
angles (deg): 90.00 106.95 90.00
Positions (direct):
Na  0.204  0.250  0.184
Na  0.796  0.750  0.816
Mn  0.157  0.750  0.630
Mn  0.843  0.250  0.370
Be  0.412  0.250  0.909
Be  0.588  0.750  0.091
Te  0.090  0.750  0.376
Te  0.258  0.750  0.964
Te  0.410  0.250  0.696
Te  0.590  0.750  0.304
Te  0.742  0.250  0.036
Te  0.910  0.250  0.624

## Properties
energy relative to the elements, uncorrected = -381 meV/atom
crystal system = monoclinic

Record 7
NaTi2MnBe | PBE | optimized geometry

a b c (Å): 4.443 4.443 4.522
angles (deg): 90.00 90.00 90.00
Positions (direct):
Na  0.000  0.000  0.000
Ti  0.000  0.500  0.500
Ti  0.500  0.000  0.500
Mn  0.500  0.500  0.500
Be  0.500  0.500  0.000

## Properties
DFT formation energy = 0.53 eV/atom
crystal system = tetragonal

Record 8
Mn2Be9Nb | PBE | optimized geometry

a b c (Å): 7.222 7.222 7.222
angles (deg): 34.72 34.72 34.72
Positions (direct):
Mn  0.143  0.143  0.143
Mn  0.857  0.857  0.857
Be  0.080  0.589  0.589
Be  0.334  0.334  0.334
Be  0.411  0.411  0.920
Be  0.411  0.920  0.411
Be  0.500  0.500  0.500
Be  0.589  0.080  0.589
Be  0.589  0.589  0.080
Be  0.666  0.666  0.666
Be  0.920  0.411  0.411
Nb  0.000  0.000  0.000

## Properties
DFT formation energy = -0.21 eV/atom
crystal system = trigonal

Record 9
MnBeNb3 | PBE | optimized geometry

a b c (Å): 4.560 4.560 4.560
angles (deg): 90.00 90.00 90.00
Positions (direct):
Mn  0.000  0.000  0.000
Be  0.500  0.500  0.500
Nb  0.000  0.000  0.500
Nb  0.000  0.500  0.000
Nb  0.500  0.000  0.000

## Properties
DFT formation energy = 0.96 eV/atom
crystal system = cubic

Record 10
MnBe8Nb3 | PBE | optimized geometry

a b c (Å): 7.814 7.814 7.814
angles (deg): 33.59 33.59 33.59
Positions (direct):
Mn  0.000  0.000  0.000
Be  0.062  0.062  0.566
Be  0.062  0.560  0.560
Be  0.062  0.566  0.062
Be  0.312  0.312  0.312
Be  0.560  0.062  0.560
Be  0.560  0.560  0.062
Be  0.566  0.062  0.062
Be  0.813  0.813  0.813
Nb  0.120  0.120  0.120
Nb  0.501  0.501  0.501
Nb  0.628  0.628  0.628

## Properties
DFT formation energy = -0.22 eV/atom
crystal system = trigonal

Record 11
MnBe3Nb2 | PBE | optimized geometry

a b c (Å): 4.683 4.683 4.683
angles (deg): 59.69 59.69 59.69
Positions (direct):
Mn  0.000  0.000  0.000
Be  0.000  0.000  0.500
Be  0.000  0.500  0.000
Be  0.500  0.000  0.000
Nb  0.373  0.373  0.373
Nb  0.627  0.627  0.627

## Properties
DFT formation energy = -0.17 eV/atom
crystal system = trigonal

Record 12
Mn2Be2Nb | PBE | optimized geometry

a b c (Å): 6.238 6.238 2.881
angles (deg): 90.00 90.00 90.00
Positions (direct):
Mn  0.174  0.326  0.000
Mn  0.326  0.826  0.000
Mn  0.674  0.174  0.000
Mn  0.826  0.674  0.000
Be  0.117  0.617  0.500
Be  0.383  0.117  0.500
Be  0.617  0.883  0.500
Be  0.883  0.383  0.500
Nb  0.000  0.000  0.500
Nb  0.500  0.500  0.500

## Properties
DFT formation energy = -0.07 eV/atom
crystal system = tetragonal

Let's list DFT total energy in order: -16.38; -28.39; -17.49; -57.84; -19.60; -51.85; -27.34; -64.50; -38.32; -71.82; -41.50; -72.41 eV per cell.